## CsAlAs3 (PBEsol)

Data for crystalline CsAlAs3 at its relaxed geometry.

a = 5.0331 Å, b = 5.0331 Å, c = 5.0331 Å
α = 90.00°, β = 90.00°, γ = 90.00°
With the nearest neighbours (Å) after each atom.
Positions (direct):
As1 0.0000 0.5000 0.0000  2 Al 2.52
As2 0.0000 0.0000 0.5000  2 Al 2.52
As3 0.5000 0.0000 0.0000  2 Al 2.52
Al1 0.0000 0.0000 0.0000  6 As 2.52
Cs1 0.5000 0.5000 0.5000  12 As 3.56

- E_tot: -19.5 eV/cell
- Energy relative to the elements: 0.171 eV/atom
- Mass density: 5.01 Mg/m³

## Al4CuAs (PBEsol)

Data for crystalline Al4CuAs at its relaxed geometry.

a = 5.2140 Å, b = 5.2140 Å, c = 5.2140 Å
α = 60.00°, β = 60.00°, γ = 60.00°
With the nearest neighbours (Å) after each atom.
Positions (direct):
Cu1 0.0000 0.0000 0.0000  12 Al 3.06, 4 As 3.19
Al1 0.3744 0.8768 0.3744  6 Al 2.59-2.62
Al2 0.3744 0.3744 0.8768  6 Al 2.59-2.62
Al3 0.8768 0.3744 0.3744  6 Al 2.59-2.62
Al4 0.3744 0.3744 0.3744  6 Al 2.59-2.62
As1 0.7500 0.7500 0.7500  12 Al 3.06, 4 Cu 3.19

- E_tot: -23.8 eV/cell
- Energy relative to the elements: 0.339 eV/atom
- Mass density: 4.08 Mg/m³

## AlCu3As (PBEsol)

Data for crystalline AlCu3As at its relaxed geometry.

a = 4.4788 Å, b = 4.4788 Å, c = 4.4788 Å
α = 90.00°, β = 90.00°, γ = 90.00°
With the nearest neighbours (Å) after each atom.
Positions (direct):
Al1 0.5000 0.5000 0.5000  12 Cu 3.17
Cu1 0.5000 0.0000 0.0000  2 As 2.24
Cu2 0.0000 0.5000 0.0000  2 As 2.24
Cu3 0.0000 0.0000 0.5000  2 As 2.24
As1 0.0000 0.0000 0.0000  6 Cu 2.24

- E_tot: -19.5 eV/cell
- Energy relative to the elements: 0.537 eV/atom
- Mass density: 5.41 Mg/m³

## AlCu2As (PBEsol)

Data for crystalline AlCu2As at its relaxed geometry.

a = 2.8171 Å, b = 2.8171 Å, c = 7.1575 Å
α = 90.00°, β = 90.00°, γ = 90.00°
With the nearest neighbours (Å) after each atom.
Positions (direct):
Al1 0.0000 0.0000 0.4570  4 Cu 2.52, 4 Al 2.82
Cu1 0.0000 0.0000 0.0220  8 Cu 2.54-2.82, 4 As 2.64
Cu2 0.5000 0.5000 0.2413  4 Al 2.52, 8 Cu 2.54-2.82
As1 0.5000 0.5000 0.7797  4 Cu 2.64, 4 As 2.82

- E_tot: -17.6 eV/cell
- Energy relative to the elements: 0.073 eV/atom
- Mass density: 6.69 Mg/m³